1.
Computed, not measured: crystalline ZnFeSe at its relaxed geometry at the PBE level of DFT.

Energy relative to the lowest polymorph listed for this composition (kJ/mol of formula units): 0
V (Å³ per cell): 48
Total moment (μB per formula unit): 1.07

a = 3.0850 Å, b = 3.0850 Å, c = 5.8723 Å
α = 90.00°, β = 90.00°, γ = 120.00°
Last column: magnetic moment on the atom in μB.
Fractional coordinates of all 3 atoms:
Fe  0.0000  0.0000  0.0211  1.19
Se  0.6667  0.3333  0.2717  -0.07
Zn  0.3333  0.6667  0.7071  -0.03

=====

2.
Computed, not measured: crystalline SnHNF2 at its relaxed geometry at the PBE level of DFT.

Energy relative to the lowest polymorph listed for this composition (kJ/mol of formula units): 0
V (Å³ per cell): 72
Total moment (μB per formula unit): 2.01

a = 4.2571 Å, b = 4.2571 Å, c = 3.9762 Å
α = 90.00°, β = 90.00°, γ = 90.00°
Last column: magnetic moment on the atom in μB.
Fractional coordinates of all 5 atoms:
F  0.0000  0.5000  0.0000  0.03
F  0.5000  0.0000  0.0000  0.03
N  0.0000  0.0000  0.5000  0.71
H  0.5000  0.5000  0.5000  0.38
Sn  0.0000  0.0000  0.0000  -0.04

=====

3.
Computed, not measured: crystalline La8C3Br4Cl at its relaxed geometry at the PBE level of DFT.

V (Å³ per cell): 414
Total moment (μB per formula unit): 0.00
Final energy (eV/atom): -5.771

a = 7.9617 Å, b = 8.8266 Å, c = 7.9624 Å
α = 116.81°, β = 120.00°, γ = 90.00°
Fractional coordinates of all 16 atoms:
La  0.2952  0.3095  0.0523
La  0.7286  0.6858  0.4572
La  0.7048  0.6905  0.9477
La  0.7571  0.3095  0.0523
La  0.7572  0.3095  0.5144
La  0.2429  0.6905  0.9477
La  0.2714  0.3142  0.5428
La  0.2428  0.6905  0.4856
Br  0.0000  0.0000  0.5000
Br  0.5000  0.0000  0.0000
Br  0.0000  0.0000  0.0000
Br  0.5000  0.0000  0.5000
C  0.0000  0.5000  0.5000
C  0.5000  0.5000  0.0000
C  0.5000  0.5000  0.5000
Cl  0.0000  0.5000  0.0000